(1)
Material: Mn2HCl8
Method: DFT, PBE
State: optimized geometry

Results
Energy ... -4.02 eV per atom
SG ... No. 2

Cell lengths 6.914, 7.529, 7.779 Å; angles 93.00, 111.63, 104.97 degrees
Positions (direct):
Mn  0.120  0.317  0.281
Mn  0.880  0.683  0.719
H  0.000  0.000  0.500
Cl  0.114  0.599  0.307
Cl  0.214  0.838  0.872
Cl  0.218  0.119  0.493
Cl  0.373  0.336  0.181
Cl  0.627  0.664  0.819
Cl  0.782  0.881  0.507
Cl  0.786  0.162  0.128
Cl  0.886  0.401  0.693

(2)
Material: NdHo8Ga6
Method: DFT, PBE
State: optimized geometry

Results
Energy relative to the elements ... -0.355 eV per atom
SG ... No. 148

Cell lengths 7.911, 7.911, 7.911 Å; angles 66.35, 66.35, 66.35 degrees
Positions (direct):
Nd  0.000  0.000  0.000
Ho  0.113  0.778  0.445
Ho  0.222  0.555  0.887
Ho  0.332  0.332  0.332
Ho  0.445  0.113  0.778
Ho  0.555  0.887  0.222
Ho  0.668  0.668  0.668
Ho  0.778  0.445  0.113
Ho  0.887  0.222  0.555
Ga  0.060  0.399  0.720
Ga  0.280  0.940  0.601
Ga  0.399  0.720  0.060
Ga  0.601  0.280  0.940
Ga  0.720  0.060  0.399
Ga  0.940  0.601  0.280

(3)
Material: PrGdAl
Method: DFT, PBE
State: optimized geometry

Results
Energy relative to the elements ... -0.216 eV per atom
SG ... No. 107
Energy above the most stable polymorph in this dataset ... 0 meV/atom

Cell lengths 3.708, 3.708, 12.493 Å; angles 90.00, 90.00, 90.00 degrees
Positions (direct):
Pr  0.000  0.000  0.000
Pr  0.500  0.500  0.500
Gd  0.000  0.000  0.295
Gd  0.500  0.500  0.795
Al  0.000  0.000  0.654
Al  0.500  0.500  0.154

(4)
Material: Cu2PdBr8
Method: DFT, PBE
State: optimized geometry

Results
SG ... No. 12
Energy relative to the elements, uncorrected ... -189.2 meV per atom
Energy above the most stable polymorph in this dataset ... 16 meV/atom

Cell lengths 7.931, 7.931, 6.453 Å; angles 92.56, 92.56, 63.81 degrees
Positions (direct):
Cu  0.168  0.168  0.438
Cu  0.832  0.832  0.562
Pd  0.000  0.000  0.000
Br  0.130  0.713  0.758
Br  0.161  0.161  0.810
Br  0.287  0.870  0.242
Br  0.341  0.341  0.452
Br  0.659  0.659  0.548
Br  0.713  0.130  0.758
Br  0.839  0.839  0.190
Br  0.870  0.287  0.242

(5)
Material: RePtW2
Method: DFT, PBE
State: optimized geometry

Results
Energy relative to the elements ... -0.095 eV per atom
SG ... No. 123
Energy above the most stable polymorph in this dataset ... 0 meV/atom

Cell lengths 3.977, 3.977, 3.928 Å; angles 90.00, 90.00, 90.00 degrees
Positions (direct):
Re  0.000  0.000  0.000
Pt  0.500  0.500  0.000
W  0.000  0.500  0.500
W  0.500  0.000  0.500

(6)
Material: Pu2InTc
Method: DFT, PBE
State: optimized geometry

Results
Energy relative to the elements ... 0.075 eV per atom
SG ... No. 123
Energy above the most stable polymorph in this dataset ... 163 meV/atom

Cell lengths 4.382, 4.382, 4.487 Å; angles 90.00, 90.00, 90.00 degrees
Positions (direct):
Pu  0.000  0.500  0.000
Pu  0.500  0.000  0.000
In  0.000  0.000  0.500
Tc  0.500  0.500  0.500

(7)
Material: AcMgZn2Pd4
Method: DFT, PBE
State: optimized geometry

Results
Energy relative to the elements ... -0.652 eV per atom
SG ... No. 166

Cell lengths 9.269, 9.269, 9.269 Å; angles 27.43, 27.43, 27.43 degrees
Positions (direct):
Ac  0.000  0.000  0.000
Mg  0.500  0.500  0.500
Zn  0.234  0.234  0.234
Zn  0.766  0.766  0.766
Pd  0.130  0.130  0.130
Pd  0.403  0.403  0.403
Pd  0.597  0.597  0.597
Pd  0.870  0.870  0.870

(8)
Material: Mn2Ni9Sn
Method: DFT, PBE
State: optimized geometry

Results
Energy relative to the elements ... -0.117 eV per atom
SG ... No. 123

Cell lengths 3.635, 3.635, 10.817 Å; angles 90.00, 90.00, 90.00 degrees
Positions (direct):
Mn  0.000  0.000  0.161
Mn  0.000  0.000  0.839
Ni  0.000  0.500  0.000
Ni  0.000  0.500  0.322
Ni  0.000  0.500  0.678
Ni  0.500  0.000  0.000
Ni  0.500  0.000  0.322
Ni  0.500  0.000  0.678
Ni  0.500  0.500  0.163
Ni  0.500  0.500  0.500
Ni  0.500  0.500  0.837
Sn  0.000  0.000  0.500

| no. | magnetization (μB per formula unit) |
| --- | --- |
| 1 | 7.0 |
| 2 | 0.0 |
| 3 | 8.0 |
| 4 | 2.0 |
| 5 | 0.0 |
| 6 | 9.4 |
| 7 | 0.0 |
| 8 | 10.3 |